Entry 1:
GePt5 after structural relaxation, computed with PBE.

Its formation energy is -0.149 eV per atom.

The space group is Cmmm (No. 65) and the conventional cell measures 4.036, 11.615 and 4.002 Å, with angles of 90.00, 90.00 and 90.00 degrees. The asymmetric unit holds Ge at (0.000, 0.000, 0.000), Pt at (0.000, 0.165, 0.500), Pt at (0.000, 0.340, 0.000) and Pt at (0.000, 0.500, 0.500).


Entry 2:
Rb2HfBr6O after structural relaxation, computed with PBE.

The calculation puts the calculated total energy at -3.8442 eV per atom.

The space group is I4/mmm (No. 139) and the conventional cell measures 8.409, 8.409 and 9.397 Å, with angles of 90.00, 90.00 and 90.00 degrees. The asymmetric unit holds Rb at (0.000, 0.500, 0.250), Hf at (0.000, 0.000, 0.000), Br at (0.000, 0.000, 0.279), Br at (0.221, 0.221, 0.000) and O at (0.000, 0.000, 0.500).


Entry 3:
V3Os2Ru2 after structural relaxation, computed with PBE.

Its formation energy is -0.051 eV per atom.

The space group is R-3m (No. 166, hexagonal axes) and the conventional cell measures 4.1844, 4.1844 and 20.4053 Å, with angles of 90.00, 90.00 and 120.00 degrees. The asymmetric unit holds V at (0.0000, 0.0000, 0.0000), V at (0.0000, 0.0000, 0.2439), Os at (0.0000, 0.0000, 0.3750) and Ru at (0.0000, 0.0000, 0.1251).


Entry 4:
Dy15TmIn4 after structural relaxation, computed with PBE.

Its formation energy is -0.203 eV per atom.

The space group is P4/mmm (No. 123) and the conventional cell measures 4.851, 4.851 and 24.598 Å, with angles of 90.00, 90.00 and 90.00 degrees. The asymmetric unit holds Dy at (0.000, 0.000, 0.000), Dy at (0.000, 0.000, 0.204), Dy at (0.000, 0.000, 0.402), Dy at (0.000, 0.500, 0.104), Dy at (0.000, 0.500, 0.303), Dy at (0.000, 0.500, 0.500), Tm at (0.500, 0.500, 0.000), In at (0.500, 0.500, 0.206) and In at (0.500, 0.500, 0.401).


Entry 5:
La5Ag after structural relaxation, computed with PBE.

Its energy relative to the lowest polymorph listed for this composition is 0.0 meV/atom. Its formation energy is -0.078 eV per atom.

The space group is P4/mmm (No. 123) and the conventional cell measures 3.777, 3.777 and 14.136 Å, with angles of 90.00, 90.00 and 90.00 degrees. The asymmetric unit holds La at (0.000, 0.000, 0.000), La at (0.000, 0.000, 0.363), La at (0.500, 0.500, 0.184) and Ag at (0.500, 0.500, 0.500).


Entry 6:
NiAg3Pd after structural relaxation, computed with PBE.

Its energy relative to the lowest polymorph listed for this composition is 331.6 meV/atom. Its formation energy is 1.203 eV per atom.

The space group is Pm-3m (No. 221) and the conventional cell measures 5.027, 5.027 and 5.027 Å, with angles of 90.00, 90.00 and 90.00 degrees. The asymmetric unit holds Ni at (0.000, 0.000, 0.000), Ag at (0.000, 0.500, 0.500) and Pd at (0.500, 0.500, 0.500).